Entry 1:
First-principles (GGA-PBE) data for an optimized crystal structure of LaTl2Fe, as listed in the Alexandria database.

Structure (CIF):
```
data_LaTl2Fe
_cell_length_a 3.5870
_cell_length_b 3.4950
_cell_length_c 8.1808
_cell_angle_alpha 90.00
_cell_angle_beta 90.14
_cell_angle_gamma 90.00
_symmetry_space_group_name_H-M 'P 1 m 1'
_symmetry_Int_Tables_number 6
_symmetry_space_group_name_Hall 'P -2y'
loop_
_atom_site_label
_atom_site_type_symbol
_atom_site_fract_x
_atom_site_fract_y
_atom_site_fract_z
La1 La 0.0000 0.0000 0.0000
Tl1 Tl 0.5022 0.5000 0.3151
Tl2 Tl 0.9982 0.0000 0.5945
Fe1 Fe 0.4984 0.5000 0.7746
```

Computed properties:
Size of the total moment, μB per formula unit: 2.22
Final energy, eV/atom: -4.342

---

Entry 2:
First-principles (GGA-PBE) data for an optimized crystal structure of LaTl2Fe, as listed in the Alexandria database.

Structure (CIF):
```
data_LaTl2Fe
_cell_length_a 4.9522
_cell_length_b 4.9522
_cell_length_c 8.1741
_cell_angle_alpha 90.00
_cell_angle_beta 90.00
_cell_angle_gamma 90.00
_symmetry_space_group_name_H-M 'I 4/m m m'
_symmetry_Int_Tables_number 139
_symmetry_space_group_name_Hall '-I 4 2'
loop_
_atom_site_label
_atom_site_type_symbol
_atom_site_fract_x
_atom_site_fract_y
_atom_site_fract_z
La1 La 0.0000 0.0000 0.0000
Tl1 Tl 0.0000 0.5000 0.2500
Fe1 Fe 0.0000 0.0000 0.5000
```

Computed properties:
Size of the total moment, μB per formula unit: 2.41
Final energy, eV/atom: -4.370

---

Entry 3:
First-principles (GGA-PBE) data for an optimized crystal structure of La4TlFe, as listed in the Alexandria database.

Structure (CIF):
```
data_La4TlFe
_cell_length_a 17.3496
_cell_length_b 7.2178
_cell_length_c 6.1688
_cell_angle_alpha 90.00
_cell_angle_beta 109.36
_cell_angle_gamma 90.00
_symmetry_space_group_name_H-M 'C 1 2/m 1'
_symmetry_Int_Tables_number 12
_symmetry_space_group_name_Hall '-C 2y'
loop_
_atom_site_label
_atom_site_type_symbol
_atom_site_fract_x
_atom_site_fract_y
_atom_site_fract_z
La1 La 0.0000 0.2417 0.0000
La2 La 0.1169 0.2475 0.6075
La3 La 0.1953 0.5000 0.2082
Tl1 Tl 0.1940 0.0000 0.1933
Fe1 Fe 0.0370 0.5000 0.3568
```

Computed properties:
Energy above the most stable polymorph in this dataset, eV per formula unit: 0.00
Size of the total moment, μB per formula unit: 0.00
Final energy, eV/atom: -5.242

---

Entry 4:
First-principles (GGA-PBE) data for an optimized crystal structure of La2TlFe, as listed in the Alexandria database.

Structure (CIF):
```
data_La2TlFe
_cell_length_a 4.1358
_cell_length_b 5.7364
_cell_length_c 9.1589
_cell_angle_alpha 90.00
_cell_angle_beta 90.00
_cell_angle_gamma 90.00
_symmetry_space_group_name_H-M 'I m m m'
_symmetry_Int_Tables_number 71
_symmetry_space_group_name_Hall '-I 2 2'
loop_
_atom_site_label
_atom_site_type_symbol
_atom_site_fract_x
_atom_site_fract_y
_atom_site_fract_z
La1 La 0.0000 0.0000 0.1962
Tl1 Tl 0.0000 0.5000 0.0000
Fe1 Fe 0.0000 0.5000 0.5000
```

Computed properties:
Size of the total moment, μB per formula unit: 0.77
Final energy, eV/atom: -5.101

---

Which value of final energy does entry 1 give?
-4.342 eV/atom